Density functional theory data (PBE) for SiS5Br after structural relaxation.

Cell lengths 5.626, 7.040, 7.098 Å; angles 117.66, 100.67, 103.76 degrees
Fractional coordinates of all 7 atoms:
Si: 0.000 0.000 0.000
S: 0.224 0.030 0.305
S: 0.601 0.550 0.585
S: 0.613 0.212 0.394
S: 0.617 0.877 0.986
S: 0.996 0.733 0.677
Br: 0.154 0.331 0.016

=====

Density functional theory data (PBE) for Si2SBr after structural relaxation.

Cell lengths 4.816, 4.816, 15.937 Å; angles 90.00, 90.00, 90.00 degrees
Fractional coordinates of all 16 atoms:
Si: 0.095 0.250 0.125
Si: 0.250 0.595 0.375
Si: 0.250 0.905 0.875
Si: 0.405 0.250 0.625
Si: 0.595 0.750 0.625
Si: 0.750 0.095 0.875
Si: 0.750 0.405 0.375
Si: 0.905 0.750 0.125
S: 0.000 0.000 0.000
S: 0.000 0.500 0.250
S: 0.500 0.000 0.750
S: 0.500 0.500 0.500
Br: 0.000 0.000 0.500
Br: 0.000 0.500 0.750
Br: 0.500 0.000 0.250
Br: 0.500 0.500 0.000

## Properties
- Polymorph energy (0 for the lowest one): 0.0000 eV/atom

=====

Density functional theory data (PBE) for Sm4SiS2Br after structural relaxation.

Cell lengths 7.087, 4.087, 7.268 Å; angles 90.00, 108.85, 90.00 degrees
Fractional coordinates of all 8 atoms:
Sm: 0.226 0.000 0.219
Sm: 0.241 0.500 0.766
Sm: 0.759 0.500 0.234
Sm: 0.774 0.000 0.781
Si: 0.500 0.000 0.000
S: 0.000 0.000 0.500
S: 0.000 0.500 0.000
Br: 0.500 0.500 0.500

=====

Density functional theory data (PBE) for Sm6Si2S3Br after structural relaxation.

Cell lengths 9.197, 9.197, 8.328 Å; angles 102.00, 102.00, 25.78 degrees
Fractional coordinates of all 12 atoms:
Sm: 0.004 0.004 0.280
Sm: 0.323 0.323 0.903
Sm: 0.333 0.333 0.416
Sm: 0.667 0.667 0.584
Sm: 0.677 0.677 0.097
Sm: 0.996 0.996 0.720
Si: 0.166 0.166 0.333
Si: 0.834 0.834 0.667
S: 0.162 0.162 0.838
S: 0.500 0.500 0.500
S: 0.838 0.838 0.162
Br: 0.500 0.500 0.000

=====

Density functional theory data (PBE) for Sm4SiSBr2 after structural relaxation.

Cell lengths 7.097, 4.168, 7.625 Å; angles 90.00, 108.73, 90.00 degrees
Fractional coordinates of all 8 atoms:
Sm: 0.228 0.000 0.199
Sm: 0.260 0.500 0.796
Sm: 0.740 0.500 0.204
Sm: 0.772 0.000 0.801
Si: 0.500 0.000 0.000
S: 0.000 0.500 0.000
Br: 0.000 0.000 0.500
Br: 0.500 0.500 0.500

=====

Density functional theory data (PBE) for Sm3Si2S8Br after structural relaxation.

Cell lengths 8.750, 8.750, 10.886 Å; angles 97.59, 97.59, 51.89 degrees
Fractional coordinates of all 28 atoms:
Sm: 0.118 0.882 0.750
Sm: 0.176 0.425 0.317
Sm: 0.425 0.176 0.817
Sm: 0.575 0.824 0.183
Sm: 0.824 0.575 0.683
Sm: 0.882 0.118 0.250
Si: 0.123 0.195 0.027
Si: 0.195 0.123 0.527
Si: 0.805 0.877 0.473
Si: 0.877 0.805 0.973
S: 0.051 0.242 0.835
S: 0.095 0.772 0.458
S: 0.108 0.603 0.856
S: 0.215 0.353 0.586
S: 0.228 0.905 0.042
S: 0.242 0.051 0.335
S: 0.353 0.215 0.086
S: 0.397 0.892 0.644
S: 0.603 0.108 0.356
S: 0.647 0.785 0.914
S: 0.758 0.949 0.665
S: 0.772 0.095 0.958
S: 0.785 0.647 0.414
S: 0.892 0.397 0.144
S: 0.905 0.228 0.542
S: 0.949 0.758 0.165
Br: 0.495 0.505 0.250
Br: 0.505 0.495 0.750

=====

Density functional theory data (PBE) for Sm8SiS3Br4 after structural relaxation.

Cell lengths 8.640, 8.640, 8.640 Å; angles 56.35, 56.35, 56.35 degrees
Fractional coordinates of all 16 atoms:
Sm: 0.227 0.737 0.737
Sm: 0.231 0.231 0.231
Sm: 0.263 0.263 0.773
Sm: 0.263 0.773 0.263
Sm: 0.737 0.227 0.737
Sm: 0.737 0.737 0.227
Sm: 0.769 0.769 0.769
Sm: 0.773 0.263 0.263
Si: 0.500 0.500 0.500
S: 0.000 0.000 0.500
S: 0.000 0.500 0.000
S: 0.500 0.000 0.000
Br: 0.000 0.000 0.000
Br: 0.000 0.500 0.500
Br: 0.500 0.000 0.500
Br: 0.500 0.500 0.000

=====

Density functional theory data (PBE) for TaSi2SBr after structural relaxation.

Cell lengths 4.977, 4.977, 4.796 Å; angles 90.00, 90.00, 90.00 degrees
Fractional coordinates of all 5 atoms:
Ta: 0.000 0.000 0.000
Si: 0.000 0.500 0.500
Si: 0.500 0.000 0.500
S: 0.500 0.500 0.000
Br: 0.000 0.000 0.500

=====

Density functional theory data (PBE) for Si2TcSBr after structural relaxation.

Cell lengths 4.921, 4.921, 4.530 Å; angles 90.00, 90.00, 90.00 degrees
Fractional coordinates of all 5 atoms:
Si: 0.000 0.500 0.000
Si: 0.500 0.000 0.000
Tc: 0.000 0.000 0.500
S: 0.000 0.000 0.000
Br: 0.500 0.500 0.500

=====

Density functional theory data (PBE) for SiTcSBr2 after structural relaxation.

Cell lengths 4.832, 4.832, 5.345 Å; angles 90.00, 90.00, 90.00 degrees
Fractional coordinates of all 5 atoms:
Si: 0.000 0.000 0.000
Tc: 0.000 0.000 0.500
S: 0.500 0.500 0.500
Br: 0.000 0.500 0.000
Br: 0.500 0.000 0.000

=====

Density functional theory data (PBE) for Sm2S2Br after structural relaxation.

Cell lengths 9.139, 9.139, 7.992 Å; angles 102.73, 102.73, 25.15 degrees
Fractional coordinates of all 10 atoms:
Sm: 0.164 0.165 0.332
Sm: 0.165 0.164 0.832
Sm: 0.835 0.836 0.168
Sm: 0.836 0.835 0.668
S: 0.329 0.329 0.415
S: 0.329 0.329 0.915
S: 0.671 0.671 0.085
S: 0.671 0.671 0.585
Br: 0.001 0.999 0.750
Br: 0.999 0.001 0.250

## Properties
- Polymorph energy (0 for the lowest one): 0.0000 eV/atom

=====

Density functional theory data (PBE) for SmSBr after structural relaxation.

Cell lengths 4.198, 4.198, 6.771 Å; angles 90.00, 90.00, 120.00 degrees
Fractional coordinates of all 3 atoms:
Sm: 0.000 0.000 0.000
S: 0.667 0.333 0.177
Br: 0.333 0.667 0.728

=====

Density functional theory data (PBE) for SmSBr after structural relaxation.

Cell lengths 6.884, 6.884, 6.884 Å; angles 90.00, 90.00, 90.00 degrees
Fractional coordinates of all 12 atoms:
Sm: 0.000 0.000 0.000
Sm: 0.000 0.500 0.500
Sm: 0.500 0.000 0.500
Sm: 0.500 0.500 0.000
S: 0.250 0.250 0.250
S: 0.250 0.750 0.750
S: 0.750 0.250 0.750
S: 0.750 0.750 0.250
Br: 0.250 0.250 0.750
Br: 0.250 0.750 0.250
Br: 0.750 0.250 0.250
Br: 0.750 0.750 0.750

=====

Density functional theory data (PBE) for SmSBr after structural relaxation.

Cell lengths 4.204, 5.452, 9.950 Å; angles 90.00, 98.34, 90.00 degrees
Fractional coordinates of all 6 atoms:
Sm: 0.207 0.250 0.376
Sm: 0.793 0.750 0.624
S: 0.227 0.750 0.434
S: 0.773 0.250 0.566
Br: 0.362 0.750 0.826
Br: 0.638 0.250 0.174

=====

Density functional theory data (PBE) for SmSBr after structural relaxation.

Cell lengths 7.013, 7.024, 6.948 Å; angles 90.00, 100.28, 90.00 degrees
Fractional coordinates of all 12 atoms:
Sm: 0.179 0.036 0.292
Sm: 0.179 0.464 0.792
Sm: 0.821 0.536 0.208
Sm: 0.821 0.964 0.708
S: 0.053 0.741 0.509
S: 0.053 0.759 0.009
S: 0.947 0.241 0.991
S: 0.947 0.259 0.491
Br: 0.422 0.128 0.699
Br: 0.422 0.372 0.199
Br: 0.578 0.628 0.801
Br: 0.578 0.872 0.301

=====

Density functional theory data (PBE) for Sm2S2Br after structural relaxation.

Cell lengths 7.019, 7.019, 8.372 Å; angles 106.62, 106.62, 46.83 degrees
Fractional coordinates of all 10 atoms:
Sm: 0.007 0.007 0.240
Sm: 0.338 0.338 0.932
Sm: 0.662 0.662 0.068
Sm: 0.993 0.993 0.760
S: 0.162 0.162 0.071
S: 0.496 0.496 0.765
S: 0.504 0.504 0.235
S: 0.838 0.838 0.929
Br: 0.164 0.164 0.589
Br: 0.836 0.836 0.411

## Properties
- Polymorph energy (0 for the lowest one): 0.0208 eV/atom

=====

Density functional theory data (PBE) for SmSBr after structural relaxation.

Cell lengths 13.836, 4.218, 7.413 Å; angles 90.00, 101.71, 90.00 degrees
Fractional coordinates of all 12 atoms:
Sm: 0.247 0.000 0.276
Sm: 0.253 0.500 0.724
Sm: 0.747 0.500 0.276
Sm: 0.753 0.000 0.724
S: 0.147 0.500 0.375
S: 0.353 0.000 0.625
S: 0.647 0.000 0.375
S: 0.853 0.500 0.625
Br: 0.132 0.000 0.878
Br: 0.368 0.500 0.122
Br: 0.632 0.500 0.878
Br: 0.868 0.000 0.122

=====

Density functional theory data (PBE) for Sm4S5Br after structural relaxation.

Cell lengths 8.568, 9.921, 6.854 Å; angles 90.00, 90.00, 90.00 degrees
Fractional coordinates of all 20 atoms:
Sm: 0.025 0.250 0.014
Sm: 0.250 0.022 0.510
Sm: 0.250 0.478 0.510
Sm: 0.475 0.250 0.014
Sm: 0.525 0.750 0.986
Sm: 0.750 0.522 0.490
Sm: 0.750 0.978 0.490
Sm: 0.975 0.750 0.986
S: 0.010 0.550 0.248
S: 0.010 0.950 0.248
S: 0.250 0.250 0.295
S: 0.490 0.550 0.248
S: 0.490 0.950 0.248
S: 0.510 0.050 0.752
S: 0.510 0.450 0.752
S: 0.750 0.750 0.705
S: 0.990 0.050 0.752
S: 0.990 0.450 0.752
Br: 0.250 0.750 0.710
Br: 0.750 0.250 0.290

=====

Density functional theory data (PBE) for Sm2SBr4 after structural relaxation.

Cell lengths 12.599, 12.599, 3.789 Å; angles 90.00, 90.00, 90.00 degrees
Fractional coordinates of all 14 atoms:
Sm: 0.117 0.117 0.000
Sm: 0.383 0.617 0.500
Sm: 0.617 0.383 0.500
Sm: 0.883 0.883 0.000
S: 0.000 0.000 0.500
S: 0.500 0.500 0.000
Br: 0.074 0.284 0.500
Br: 0.216 0.574 0.000
Br: 0.284 0.074 0.500
Br: 0.426 0.784 0.000
Br: 0.574 0.216 0.000
Br: 0.716 0.926 0.500
Br: 0.784 0.426 0.000
Br: 0.926 0.716 0.500

=====

Density functional theory data (PBE) for SmSBr after structural relaxation.

Cell lengths 8.536, 8.536, 5.548 Å; angles 90.00, 90.00, 90.00 degrees
Fractional coordinates of all 12 atoms:
Sm: 0.000 0.251 0.000
Sm: 0.000 0.749 0.000
Sm: 0.251 0.000 0.500
Sm: 0.749 0.000 0.500
S: 0.000 0.217 0.500
S: 0.000 0.783 0.500
S: 0.217 0.000 0.000
S: 0.783 0.000 0.000
Br: 0.229 0.500 0.000
Br: 0.500 0.229 0.500
Br: 0.500 0.771 0.500
Br: 0.771 0.500 0.000

=====

| no. | DOS(E_F) (states/eV per atom) | uncorrected formation energy (meV per atom) |
| --- | --- | --- |
| 1 | 0.095 | -167 |
| 2 | 0.724 | 352 |
| 3 | 0.412 | -1521 |
| 4 | 0.315 | -1486 |
| 5 | 0.435 | -1342 |
| 6 | 0.000 | -1469 |
| 7 | 0.440 | -1459 |
| 8 | 0.881 | 1801 |
| 9 | 0.649 | 1006 |
| 10 | 1.420 | 1003 |
| 11 | 0.346 | -1977 |
| 12 | 0.000 | -1921 |
| 13 | 0.000 | -1784 |
| 14 | 0.000 | -1996 |
| 15 | 0.000 | -1996 |
| 16 | 0.374 | -1956 |
| 17 | 0.000 | -1915 |
| 18 | 0.083 | -1795 |
| 19 | 0.000 | -1859 |
| 20 | 0.000 | -1971 |